No. 1
This record from Alexandria via LeMat-Bulk describes a relaxed Cs2BiAs2S6 crystal. The functional is GGA-PBE.

```
data_Cs2BiAs2S6
_chemical_formula_sum 'Cs2 Bi1 As2 S6'
_symmetry_space_group_name_H-M 'P 1'
_symmetry_Int_Tables_number 1
_cell_length_a 7.3920
_cell_length_b 7.4031
_cell_length_c 8.6245
_cell_angle_alpha 114.91
_cell_angle_beta 90.00
_cell_angle_gamma 119.95
loop_
_symmetry_equiv_pos_as_xyz
'x,y,z'
loop_
_atom_site_label
_atom_site_fract_x
_atom_site_fract_y
_atom_site_fract_z
_atom_site_occupancy
Cs1 0.7270 0.4540 0.1851 1
Cs2 0.2730 0.5460 0.8149 1
Bi1 0.5000 0.0000 0.5000 1
As1 0.9381 0.8761 0.8128 1
As2 0.0619 0.1239 0.1872 1
S1 0.7470 0.4939 0.7439 1
S2 0.2487 0.9902 0.2470 1
S3 0.2585 0.0098 0.7530 1
S4 0.7513 0.0098 0.7530 1
S5 0.7415 0.9902 0.2470 1
S6 0.2530 0.5061 0.2561 1
```

Properties
Formation energy (no corrections) (meV per atom): -488
Space-group type: C2/m, No. 12



No. 2
This record from Alexandria via LeMat-Bulk describes a relaxed Cs2ScBiAs crystal. The functional is GGA-PBE.

```
data_Cs2ScBiAs
_chemical_formula_sum 'Cs2 Sc1 Bi1 As1'
_symmetry_space_group_name_H-M 'P 1'
_symmetry_Int_Tables_number 1
_cell_length_a 7.1561
_cell_length_b 7.1561
_cell_length_c 5.3716
_cell_angle_alpha 90.00
_cell_angle_beta 90.00
_cell_angle_gamma 90.00
loop_
_symmetry_equiv_pos_as_xyz
'x,y,z'
loop_
_atom_site_label
_atom_site_fract_x
_atom_site_fract_y
_atom_site_fract_z
_atom_site_occupancy
Cs1 0.0000 0.5000 0.0000 1
Cs2 0.5000 0.0000 0.0000 1
Sc1 0.5000 0.5000 0.5000 1
As1 0.0000 0.0000 0.0000 1
Bi1 0.0000 0.0000 0.5000 1
```

Properties
Space-group type: P4/mmm, No. 123
Total energy (eV per atom): -2.800



No. 3
This record from Alexandria via LeMat-Bulk describes a relaxed CsBi2As2Se6 crystal. The functional is GGA-PBE.

```
data_CsBi2As2Se6
_chemical_formula_sum 'Cs1 Bi2 As2 Se6'
_symmetry_space_group_name_H-M 'P 1'
_symmetry_Int_Tables_number 1
_cell_length_a 8.0304
_cell_length_b 9.6361
_cell_length_c 8.6043
_cell_angle_alpha 124.69
_cell_angle_beta 104.84
_cell_angle_gamma 52.73
loop_
_symmetry_equiv_pos_as_xyz
'x,y,z'
loop_
_atom_site_label
_atom_site_fract_x
_atom_site_fract_y
_atom_site_fract_z
_atom_site_occupancy
Cs1 0.5000 0.0000 0.5000 1
Bi1 0.8513 0.3714 0.8553 1
Bi2 0.1487 0.6286 0.1447 1
As1 0.9835 0.8593 0.8510 1
As2 0.0165 0.1407 0.1490 1
Se1 0.3170 0.5688 0.8445 1
Se2 0.2427 0.2308 0.9619 1
Se3 0.0440 0.8918 0.6225 1
Se4 0.7573 0.7692 0.0381 1
Se5 0.9560 0.1082 0.3775 1
Se6 0.6830 0.4312 0.1555 1
```

Properties
Formation energy (no corrections) (meV per atom): -347
Space-group type: P-1, No. 2